Below is a relaxed structure of RbNaUN3, with properties calculated at the PBE level.

Calculated values
Calculated total energy (eV per atom): -6.91
Space-group type: No. 15
Crystal system: monoclinic
Fermi-level density of states (states/eV per cell): 7.165

Unit cell a=6.069 b=6.218 c=6.934 alpha=63.36 beta=87.55 gamma=84.53
Element x y z (fractional)
1 Rb 0.250 0.260 0.479
2 Rb 0.750 0.740 0.521
3 Na 0.250 0.575 0.849
4 Na 0.750 0.425 0.151
5 U 0.750 0.063 0.874
6 U 0.250 0.937 0.126
7 N 0.522 0.832 0.927
8 N 0.978 0.242 0.927
9 N 0.750 0.220 0.560
10 N 0.478 0.168 0.073
11 N 0.022 0.758 0.073
12 N 0.250 0.780 0.440


Below is a relaxed structure of RbNaWN2, with properties calculated at the PBE level.

Calculated values
Calculated total energy (eV per atom): -3.06
Space-group type: No. 123
Crystal system: tetragonal
Fermi-level density of states (states/eV per cell): 6.056

Unit cell a=4.637 b=4.541 c=4.637 alpha=90.00 beta=90.00 gamma=90.00
Element x y z (fractional)
1 Na 0.000 0.500 0.000
2 Rb 0.000 0.000 0.000
3 W 0.500 0.500 0.500
4 N 0.000 0.000 0.500
5 N 0.500 0.000 0.000


Below is a relaxed structure of Na3ReN4, with properties calculated at the PBE level.

Calculated values
ΔE to the lowest computed polymorph (kcal/mol of atoms): 0.00
Space-group type: No. 5
Crystal system: monoclinic

Unit cell a=5.470 b=5.605 c=5.605 alpha=72.53 beta=64.57 gamma=64.57
Element x y z (fractional)
1 Na 0.213 0.314 0.241
2 Na 0.000 0.074 0.926
3 Na 0.787 0.759 0.686
4 N 0.776 0.520 0.113
5 N 0.224 0.887 0.480
6 N 0.401 0.250 0.722
7 N 0.599 0.278 0.750
8 Re 0.500 0.569 0.431


Below is a relaxed structure of Na6ReN4, with properties calculated at the PBE level.

Calculated values
ΔE to the lowest computed polymorph (kcal/mol of atoms): 1.43
Space-group type: No. 137
Crystal system: tetragonal
Fermi-level density of states (states/eV per cell): 3.662

Unit cell a=7.670 b=7.670 c=5.974 alpha=90.00 beta=90.00 gamma=90.00
Element x y z (fractional)
1 Na 0.000 0.500 0.696
2 Na 0.500 0.000 0.804
3 Na 0.500 0.000 0.304
4 Na 0.000 0.500 0.196
5 Na 0.207 0.207 0.500
6 Na 0.793 0.793 0.500
7 Na 0.707 0.707 0.000
8 Na 0.293 0.293 0.000
9 Na 0.793 0.207 0.500
10 Na 0.207 0.793 0.500
11 Na 0.293 0.707 0.000
12 Na 0.707 0.293 0.000
13 Re 0.500 0.500 0.500
14 Re 0.000 0.000 0.000
15 N 0.296 0.500 0.329
16 N 0.704 0.500 0.329
17 N 0.796 0.000 0.171
18 N 0.204 0.000 0.171
19 N 0.500 0.296 0.671
20 N 0.500 0.704 0.671
21 N 0.000 0.796 0.829
22 N 0.000 0.204 0.829


Below is a relaxed structure of Na3ReN4, with properties calculated at the PBE level.

Calculated values
ΔE to the lowest computed polymorph (kcal/mol of atoms): 15.19
Space-group type: No. 139
Crystal system: tetragonal
Fermi-level density of states (states/eV per cell): 4.473

Unit cell a=5.485 b=5.485 c=5.485 alpha=101.45 beta=113.63 gamma=113.63
Element x y z (fractional)
1 Na 0.500 0.750 0.250
2 Na 0.000 0.000 0.000
3 Na 0.500 0.250 0.750
4 Re 0.000 0.500 0.500
5 N 0.558 0.279 0.279
6 N 0.000 0.279 0.721
7 N 0.000 0.721 0.279
8 N 0.442 0.721 0.721


Below is a relaxed structure of Na3ReN3, with properties calculated at the PBE level.

Calculated values
ΔE to the lowest computed polymorph (kcal/mol of atoms): 2.12
Space-group type: No. 194
Crystal system: hexagonal
Fermi-level density of states (states/eV per cell): 4.857

Unit cell a=7.660 b=7.660 c=4.998 alpha=90.00 beta=90.00 gamma=120.00
Element x y z (fractional)
1 Na 0.829 0.658 0.250
2 Na 0.829 0.171 0.250
3 Na 0.342 0.171 0.250
4 Na 0.171 0.342 0.750
5 Na 0.171 0.829 0.750
6 Na 0.658 0.829 0.750
7 Re 0.667 0.333 0.750
8 Re 0.333 0.667 0.250
9 N 0.803 0.606 0.750
10 N 0.803 0.197 0.750
11 N 0.394 0.197 0.750
12 N 0.197 0.394 0.250
13 N 0.197 0.803 0.250
14 N 0.606 0.803 0.250


Number 5 is which compound?
Na3ReN4